BeIn3Rh | PBE | relaxed

Computed properties:
Theoretical density in g cm⁻³: 7.37
Formation energy from the elements in eV/f.u.: 2.826
Size of the total moment in μB per formula unit: 0.0

a b c (Å): 4.685 4.685 4.685
angles (deg): 90.00 90.00 90.00
Element x y z (fractional)
Be  0.000  0.000  0.000
In  0.000  0.000  0.500
In  0.000  0.500  0.000
In  0.500  0.000  0.000
Rh  0.500  0.500  0.500

Na3ZrSi6O18 | PBE | relaxed

Computed properties:
Theoretical density in g cm⁻³: 2.36
E_form (uncorrected) in eV per atom: -2.20
Size of the total moment in μB per formula unit: 5.0

a b c (Å): 7.570 7.570 7.580
angles (deg): 92.35 92.35 87.79
Element x y z (fractional)
Na  0.000  0.000  0.000
Na  0.000  0.499  0.500
Na  0.501  0.000  0.500
Zr  0.000  0.000  0.500
Si  0.262  0.714  0.787
Si  0.286  0.738  0.213
Si  0.287  0.288  0.762
Si  0.712  0.713  0.238
Si  0.713  0.262  0.787
Si  0.738  0.287  0.213
O  0.097  0.815  0.684
O  0.185  0.185  0.597
O  0.185  0.903  0.316
O  0.201  0.569  0.296
O  0.202  0.203  0.931
O  0.247  0.753  0.000
O  0.248  0.501  0.748
O  0.431  0.799  0.704
O  0.499  0.752  0.252
O  0.500  0.248  0.748
O  0.569  0.202  0.297
O  0.752  0.500  0.252
O  0.753  0.247  0.000
O  0.797  0.798  0.069
O  0.798  0.431  0.703
O  0.815  0.097  0.684
O  0.815  0.815  0.403
O  0.903  0.185  0.316

CsRbI | PBE | relaxed

Computed properties:
Theoretical density in g cm⁻³: 2.56
E_form (uncorrected) in eV per atom: -0.95
Size of the total moment in μB per formula unit: 0.0

a b c (Å): 5.271 5.271 18.621
angles (deg): 90.00 90.00 120.00
Element x y z (fractional)
Cs  0.333  0.667  0.126
Cs  0.667  0.333  0.874
Rb  0.000  0.000  0.375
Rb  0.000  0.000  0.625
I  0.333  0.667  0.742
I  0.667  0.333  0.258

SrGa3N | PBE | relaxed

Computed properties:
Theoretical density in g cm⁻³: 5.09
E_form (uncorrected) in eV per atom: 0.34
Size of the total moment in μB per formula unit: 0.0

a b c (Å): 4.663 4.663 4.663
angles (deg): 90.00 90.00 90.00
Element x y z (fractional)
Sr  0.000  0.000  0.000
Ga  0.000  0.500  0.500
Ga  0.500  0.000  0.500
Ga  0.500  0.500  0.000
N  0.500  0.500  0.500

PrDy6Y2Sc3 | PBE | relaxed

Computed properties:
Theoretical density in g cm⁻³: 6.56
Formation energy from the elements in eV/f.u.: 0.569
Size of the total moment in μB per formula unit: 0.0

a b c (Å): 6.067 6.067 11.517
angles (deg): 95.03 95.03 119.98
Element x y z (fractional)
Pr  0.000  0.000  0.000
Dy  0.087  0.421  0.261
Dy  0.246  0.246  0.738
Dy  0.421  0.087  0.261
Dy  0.579  0.913  0.739
Dy  0.754  0.754  0.262
Dy  0.913  0.579  0.739
Y  0.333  0.667  0.000
Y  0.667  0.333  0.000
Sc  0.167  0.833  0.500
Sc  0.500  0.500  0.500
Sc  0.833  0.167  0.500

ZnIn2Co | PBE | relaxed

Computed properties:
Theoretical density in g cm⁻³: 5.42
Formation energy from the elements in eV/f.u.: 0.762
Size of the total moment in μB per formula unit: 0.0

a b c (Å): 7.202 7.202 7.202
angles (deg): 96.05 96.05 142.12
Element x y z (fractional)
Zn  0.375  0.625  0.750
Zn  0.625  0.375  0.250
In  0.000  0.000  0.000
In  0.000  0.000  0.500
In  0.000  0.500  0.000
In  0.500  0.000  0.500
Co  0.125  0.875  0.250
Co  0.875  0.125  0.750

KLaRu2 | PBE | relaxed

Computed properties:
Theoretical density in g cm⁻³: 4.71
Formation energy from the elements in eV/f.u.: 1.145
Size of the total moment in μB per formula unit: 0.0

a b c (Å): 4.125 4.125 9.067
angles (deg): 103.53 103.53 64.70
Element x y z (fractional)
K  0.000  0.000  0.000
La  0.189  0.189  0.519
Ru  0.427  0.427  0.302
Ru  0.793  0.793  0.303

Nd2GeP3Pd4 | PBE | relaxed

Computed properties:
Theoretical density in g cm⁻³: 8.08
Formation energy from the elements in eV/f.u.: -9.061
Size of the total moment in μB per formula unit: 0.0

a b c (Å): 4.218 4.218 10.163
angles (deg): 90.00 90.00 90.00
Element x y z (fractional)
Nd  0.000  0.500  0.245
Nd  0.500  0.000  0.755
Ge  0.000  0.000  0.500
P  0.000  0.500  0.866
P  0.500  0.000  0.134
P  0.500  0.500  0.500
Pd  0.000  0.000  0.000
Pd  0.000  0.500  0.633
Pd  0.500  0.000  0.367
Pd  0.500  0.500  0.000